No. 1
This record from Alexandria via LeMat-Bulk describes a geometry-optimized PrSm3Mg4 structure. The functional is GGA-PBE.

DFT total energy ... -3.271 eV/atom
E_form ... -0.107 eV per atom

Unit cell a=5.465 b=7.735 c=10.920 alpha=90.00 beta=90.00 gamma=90.00
Element x y z (fractional)
Mg 0.500 0.246 0.000
Sm 0.500 0.000 0.750
Mg 0.000 0.754 0.250
Sm 0.500 0.500 0.250
Sm 0.500 0.000 0.250
Mg 0.500 0.754 0.500
Sm 0.000 0.000 0.000
Mg 0.000 0.246 0.750
Sm 0.500 0.500 0.750
Pr 0.000 0.500 0.000
Pr 0.000 0.500 0.500
Mg 0.500 0.754 0.000
Mg 0.000 0.754 0.750
Mg 0.000 0.246 0.250
Mg 0.500 0.246 0.500
Sm 0.000 0.000 0.500

No. 2
This record from Alexandria via LeMat-Bulk describes a geometry-optimized Pr4Sm8Mg structure. The functional is GGA-PBE.

DFT total energy ... -3.970 eV/atom
E_form ... 0.528 eV per atom

Unit cell a=11.203 b=11.203 c=7.890 alpha=90.00 beta=135.23 gamma=120.00
Element x y z (fractional)
Sm 0.994 0.753 0.235
Sm 0.483 0.241 0.724
Sm 0.482 0.241 0.235
Sm 0.006 0.247 0.765
Sm 0.518 0.759 0.765
Mg 0.000 0.500 0.500
Pr 0.000 0.000 0.000
Pr 0.000 0.500 0.000
Sm 0.994 0.241 0.235
Pr 0.500 0.500 0.000
Pr 0.500 0.000 0.000
Sm 0.517 0.759 0.276
Sm 0.006 0.759 0.765

No. 3
This record from Alexandria via LeMat-Bulk describes a geometry-optimized Pr5Sm2Mg structure. The functional is GGA-PBE.

Polymorph energy (0 for the lowest one) ... 0 meV per atom
DFT total energy ... -4.370 eV/atom
E_form ... -0.004 eV per atom

Unit cell a=7.278 b=7.278 c=7.242 alpha=120.15 beta=120.15 gamma=90.02
Element x y z (fractional)
Pr 0.722 0.722 0.944
Pr 0.222 0.222 0.944
Pr 0.222 0.722 0.944
Mg 0.222 0.222 0.444
Pr 0.722 0.222 0.944
Sm 0.222 0.722 0.444
Sm 0.722 0.222 0.444
Pr 0.722 0.722 0.444

No. 4
This record from Alexandria via LeMat-Bulk describes a geometry-optimized Pr2Sm2Mg structure. The functional is GGA-PBE.

Polymorph energy (0 for the lowest one) ... 0 meV per atom
DFT total energy ... -4.144 eV/atom
E_form ... -0.026 eV per atom

Unit cell a=3.721 b=3.721 c=12.147 alpha=98.81 beta=98.81 gamma=90.00
Element x y z (fractional)
Pr 0.806 0.806 0.612
Sm 0.588 0.588 0.176
Sm 0.412 0.412 0.824
Pr 0.194 0.194 0.388
Mg 0.000 0.000 0.000